Below is crystalline CaCeNi2 at its relaxed geometry, with properties calculated at the PBE-GGA level.

Calculated density = 6.23 Mg/m³
Distance to the lowest polymorph of the same formula = 87 meV per atom
SG = Fm-3m, No. 225
Uncorrected energy = -5.00 eV per atom

a = 4.824 Å, b = 4.824 Å, c = 4.824 Å
α = 60.00°, β = 60.00°, γ = 60.00°
Atoms (fractional coordinates):
1 Ca 0.000 0.000 0.000
2 Ce 0.500 0.500 0.500
3 Ni 0.250 0.250 0.250
4 Ni 0.750 0.750 0.750